VASP calculation (PBE-GGA) on PuMnC after structural relaxation.

Cell lengths 3.711, 5.409, 8.980 Å; angles 90.00, 90.00, 90.00 degrees
Site moments in Bohr magnetons follow the coordinates.
Atoms (fractional coordinates):
Mn 0.250 0.620 0.536  -1.05
Pu 0.750 0.944 0.324  5.17
Mn 0.750 0.120 0.964  -1.05
C 0.250 0.207 0.938  0.04
C 0.750 0.793 0.062  0.04
Pu 0.250 0.444 0.176  5.17
Pu 0.250 0.056 0.676  5.17
Pu 0.750 0.556 0.824  5.17
Mn 0.750 0.380 0.464  -1.05
Mn 0.250 0.880 0.036  -1.05
C 0.750 0.707 0.562  0.04
C 0.250 0.293 0.438  0.04

Output
The distance to the lowest polymorph of the same formula is 0.000 eV per formula unit. As for the space group: Pnma.

=====

VASP calculation (PBE-GGA) on PuMn4C2 after structural relaxation.

Cell lengths 3.679, 3.679, 6.835 Å; angles 74.39, 74.39, 60.00 degrees
Site moments in Bohr magnetons follow the coordinates.
Atoms (fractional coordinates):
C 0.750 0.750 0.751  -0.01
C 0.250 0.250 0.249  -0.01
Mn 0.436 0.436 0.693  -0.14
Mn 0.862 0.862 0.413  1.20
Pu 0.000 0.000 0.000  0.16
Mn 0.564 0.564 0.307  -0.14
Mn 0.138 0.138 0.587  1.20

Output
As for the space group: R-3m. For the total energy, the calculation gives -9.459 eV per atom.

=====

VASP calculation (PBE-GGA) on PuMnC after structural relaxation.

Cell lengths 3.687, 3.575, 3.575 Å; angles 120.00, 90.00, 90.00 degrees
Site moments in Bohr magnetons follow the coordinates.
Atoms (fractional coordinates):
C 0.167 0.333 0.667  -0.03
Pu 0.667 0.667 0.333  4.73
Mn 0.167 0.000 0.000  -1.97

Output
The distance to the lowest polymorph of the same formula is 0.411 eV per formula unit. As for the space group: P-6m2.

=====

VASP calculation (PBE-GGA) on PuMn2C2 after structural relaxation.

Cell lengths 5.190, 5.190, 5.464 Å; angles 109.47, 109.47, 107.34 degrees
Site moments in Bohr magnetons follow the coordinates.
Atoms (fractional coordinates):
C 0.438 0.062 0.250  0.01
C 0.188 0.312 0.750  0.01
C 0.812 0.688 0.250  0.01
Mn 0.239 0.989 0.478  -0.58
Mn 0.511 0.261 0.022  -0.58
Pu 0.875 0.625 0.750  4.93
Pu 0.125 0.375 0.250  4.93
Mn 0.489 0.739 0.978  -0.58
C 0.562 0.938 0.750  0.01
Mn 0.761 0.011 0.522  -0.58

Output
As for the space group: Fddd. For the total energy, the calculation gives -10.403 eV per atom.

=====

VASP calculation (PBE-GGA) on PuMnC2 after structural relaxation.

Cell lengths 3.174, 3.174, 5.524 Å; angles 73.30, 73.30, 60.00 degrees
Site moments in Bohr magnetons follow the coordinates.
Atoms (fractional coordinates):
C 0.266 0.266 0.201  -0.18
Pu 0.500 0.500 0.500  3.96
C 0.734 0.734 0.799  -0.18
Mn 0.000 0.000 0.000  2.02

Output
As for the space group: R-3m. For the total energy, the calculation gives -10.292 eV per atom.

=====

VASP calculation (PBE-GGA) on PuSc2Mn2C4 after structural relaxation.

Cell lengths 3.170, 6.568, 5.608 Å; angles 109.94, 90.00, 103.96 degrees
Site moments in Bohr magnetons follow the coordinates.
Atoms (fractional coordinates):
C 0.226 0.452 0.216  0.07
Sc 0.852 0.705 0.457  0.04
Sc 0.148 0.295 0.543  0.04
C 0.774 0.548 0.784  0.07
Pu 0.000 0.000 0.000  4.72
Mn 0.673 0.346 0.991  -1.52
Mn 0.327 0.654 0.009  -1.52
C 0.512 0.024 0.632  -0.02
C 0.488 0.976 0.368  -0.02

Output
As for the space group: C2/m. For the total energy, the calculation gives -9.334 eV per atom.

=====

VASP calculation (PBE-GGA) on PuMn2SiC after structural relaxation.

Cell lengths 3.730, 5.616, 6.912 Å; angles 90.00, 90.00, 109.40 degrees
Site moments in Bohr magnetons follow the coordinates.
Atoms (fractional coordinates):
Pu 0.455 0.910 0.750  4.71
Si 0.266 0.532 0.250  -0.06
Mn 0.171 0.341 0.562  1.13
Mn 0.829 0.659 0.438  1.13
Mn 0.829 0.659 0.062  1.13
Pu 0.545 0.090 0.250  4.71
Mn 0.171 0.341 0.938  1.13
Si 0.734 0.468 0.750  -0.06
C 0.000 0.000 0.500  -0.12
C 0.000 0.000 0.000  -0.12

Output
As for the space group: Cmcm. For the total energy, the calculation gives -9.772 eV per atom.

=====

VASP calculation (PBE-GGA) on TbPu2MnC4 after structural relaxation.

Cell lengths 3.492, 5.879, 11.959 Å; angles 90.00, 90.00, 107.28 degrees
Site moments in Bohr magnetons follow the coordinates.
Atoms (fractional coordinates):
C 0.000 0.000 0.000  -0.25
Pu 0.369 0.737 0.955  4.38
C 0.583 0.166 0.250  -0.12
Pu 0.631 0.263 0.455  4.38
C 0.000 0.000 0.500  -0.25
C 0.263 0.526 0.130  -0.12
Tb 0.896 0.791 0.250  0.10
Pu 0.631 0.263 0.045  4.38
C 0.263 0.526 0.370  -0.12
Mn 0.165 0.331 0.250  1.33
C 0.417 0.834 0.750  -0.12
C 0.737 0.474 0.870  -0.12
Mn 0.835 0.669 0.750  1.33
C 0.737 0.474 0.630  -0.12
Tb 0.104 0.209 0.750  0.10
Pu 0.369 0.737 0.545  4.38

Output
As for the space group: Cmcm. For the total energy, the calculation gives -9.891 eV per atom.

=====

VASP calculation (PBE-GGA) on Pu2ThMnC4 after structural relaxation.

Cell lengths 3.491, 6.036, 11.903 Å; angles 90.00, 90.00, 106.81 degrees
Site moments in Bohr magnetons follow the coordinates.
Atoms (fractional coordinates):
C 0.419 0.837 0.750  -0.09
C 0.000 0.000 0.500  -0.23
Pu 0.632 0.265 0.045  4.44
Pu 0.368 0.735 0.545  4.44
C 0.263 0.527 0.369  -0.10
Mn 0.166 0.333 0.250  1.03
Pu 0.632 0.265 0.455  4.44
Mn 0.834 0.667 0.750  1.03
Th 0.904 0.807 0.250  0.00
C 0.737 0.473 0.631  -0.10
C 0.581 0.163 0.250  -0.09
Th 0.096 0.193 0.750  0.00
C 0.737 0.473 0.869  -0.10
Pu 0.368 0.735 0.955  4.44
C 0.263 0.527 0.131  -0.10
C 0.000 0.000 0.000  -0.23

Output
As for the space group: Cmcm. For the total energy, the calculation gives -10.286 eV per atom.

=====

VASP calculation (PBE-GGA) on Tm2PuMn2C4 after structural relaxation.

Cell lengths 3.337, 6.578, 5.930 Å; angles 110.83, 90.00, 104.69 degrees
Site moments in Bohr magnetons follow the coordinates.
Atoms (fractional coordinates):
C 0.465 0.931 0.256  -0.07
C 0.535 0.069 0.744  -0.07
C 0.220 0.441 0.203  -0.03
Tm 0.137 0.275 0.543  -0.01
C 0.780 0.559 0.797  -0.03
Mn 0.682 0.364 0.985  0.42
Pu 0.000 0.000 0.000  4.47
Mn 0.318 0.636 0.015  0.42
Tm 0.863 0.725 0.457  -0.01

Output
As for the space group: C2/m. For the total energy, the calculation gives -8.805 eV per atom.

=====

VASP calculation (PBE-GGA) on TmPu2MnC4 after structural relaxation.

Cell lengths 3.463, 5.800, 12.008 Å; angles 90.00, 90.00, 107.37 degrees
Site moments in Bohr magnetons follow the coordinates.
Atoms (fractional coordinates):
C 0.000 0.000 0.500  -0.25
C 0.266 0.532 0.368  -0.12
C 0.422 0.843 0.750  -0.12
C 0.266 0.532 0.132  -0.12
Pu 0.633 0.265 0.455  4.38
C 0.734 0.468 0.868  -0.12
Mn 0.165 0.329 0.250  1.37
C 0.578 0.157 0.250  -0.12
C 0.000 0.000 0.000  -0.25
Pu 0.633 0.265 0.045  4.38
Pu 0.367 0.735 0.545  4.38
Mn 0.835 0.671 0.750  1.37
C 0.734 0.468 0.632  -0.12
Tm 0.895 0.789 0.250  0.10
Pu 0.367 0.735 0.955  4.38
Tm 0.105 0.211 0.750  0.10

Output
As for the space group: Cmcm. For the total energy, the calculation gives -9.856 eV per atom.

=====

VASP calculation (PBE-GGA) on YPu2MnC4 after structural relaxation.

Cell lengths 3.488, 5.870, 11.970 Å; angles 90.00, 90.00, 107.28 degrees
Site moments in Bohr magnetons follow the coordinates.
Atoms (fractional coordinates):
C 0.263 0.526 0.370  -0.12
Y 0.104 0.208 0.750  0.08
Pu 0.631 0.263 0.045  4.38
C 0.737 0.474 0.870  -0.12
C 0.582 0.164 0.250  -0.12
Mn 0.835 0.669 0.750  1.34
Y 0.896 0.792 0.250  0.08
C 0.000 0.000 0.000  -0.26
C 0.000 0.000 0.500  -0.26
Pu 0.631 0.263 0.455  4.38
C 0.418 0.836 0.750  -0.12
Pu 0.369 0.737 0.545  4.38
Mn 0.165 0.331 0.250  1.34
C 0.737 0.474 0.630  -0.12
Pu 0.369 0.737 0.955  4.38
C 0.263 0.526 0.130  -0.12

Output
As for the space group: Cmcm. For the total energy, the calculation gives -10.118 eV per atom.

=====

VASP calculation (PBE-GGA) on PuMnZnC after structural relaxation.

Cell lengths 3.385, 3.385, 10.679 Å; angles 90.00, 90.00, 90.00 degrees
Site moments in Bohr magnetons follow the coordinates.
Atoms (fractional coordinates):
Pu 0.750 0.750 0.232  5.34
C 0.750 0.750 0.894  -0.01
Zn 0.750 0.250 0.500  0.01
C 0.250 0.250 0.106  -0.01
Pu 0.250 0.250 0.768  5.34
Zn 0.250 0.750 0.500  0.01
Mn 0.750 0.250 0.000  -1.06
Mn 0.250 0.750 0.000  -1.06

Output
As for the space group: P4/nmm. For the total energy, the calculation gives -8.495 eV per atom.

=====

VASP calculation (PBE-GGA) on RbMn2C after structural relaxation.

Cell lengths 6.349, 6.349, 6.354 Å; angles 60.03, 60.03, 90.00 degrees
Site moments in Bohr magnetons follow the coordinates.
Atoms (fractional coordinates):
Mn 0.875 0.625 0.750  3.35
Mn 0.375 0.625 0.250  3.43
Mn 0.375 0.625 0.750  3.41
Mn 0.375 0.125 0.250  3.38
Rb 0.000 0.000 0.000  0.00
C 0.250 0.750 0.500  -0.21
Rb 0.750 0.250 0.500  0.00
C 0.500 0.500 0.000  -0.21

Output
As for the space group: I4_1/amd. For the total energy, the calculation gives -6.405 eV per atom.

=====

VASP calculation (PBE-GGA) on RbMn2C2 after structural relaxation.

Cell lengths 3.797, 3.797, 6.800 Å; angles 73.79, 73.79, 90.00 degrees
Site moments in Bohr magnetons follow the coordinates.
Atoms (fractional coordinates):
Mn 0.745 0.745 0.510  1.05
C 0.250 0.750 0.500  -0.12
Mn 0.255 0.255 0.490  1.05
Rb 0.000 0.000 0.000  -0.01
C 0.750 0.250 0.500  -0.12

Output
The distance to the lowest polymorph of the same formula is 0.000 eV per formula unit. As for the space group: I4/mmm.

=====

VASP calculation (PBE-GGA) on RbMn2C2 after structural relaxation.

Cell lengths 8.180, 8.180, 3.069 Å; angles 90.00, 90.00, 90.00 degrees
Site moments in Bohr magnetons follow the coordinates.
Atoms (fractional coordinates):
Rb 0.500 0.500 0.000  0.04
C 0.435 0.065 0.500  -0.07
C 0.065 0.565 0.500  -0.07
Mn 0.901 0.599 0.000  2.95
C 0.935 0.435 0.500  -0.07
Rb 0.000 0.000 0.000  0.04
C 0.565 0.935 0.500  -0.07
Mn 0.099 0.401 0.000  2.95
Mn 0.599 0.099 0.000  2.95
Mn 0.401 0.901 0.000  2.95

Output
The distance to the lowest polymorph of the same formula is 3.319 eV per formula unit. As for the space group: P4/mbm.

=====

VASP calculation (PBE-GGA) on RbMnC3 after structural relaxation.

Cell lengths 3.950, 3.950, 3.950 Å; angles 90.00, 90.00, 90.00 degrees
Site moments in Bohr magnetons follow the coordinates.
Atoms (fractional coordinates):
C 0.000 0.500 0.000  0.20
C 0.000 0.000 0.500  0.40
Mn 0.000 0.000 0.000  -0.23
Rb 0.500 0.500 0.500  0.05
C 0.500 0.000 0.000  0.15

Output
As for the space group: Pm-3m. For the total energy, the calculation gives -5.763 eV per atom.

=====

VASP calculation (PBE-GGA) on RbMn3C after structural relaxation.

Cell lengths 4.937, 4.937, 4.937 Å; angles 90.00, 90.00, 90.00 degrees
Site moments in Bohr magnetons follow the coordinates.
Atoms (fractional coordinates):
Rb 0.000 0.000 0.000  0.01
C 0.500 0.500 0.500  -0.24
Mn 0.500 0.000 0.000  4.12
Mn 0.000 0.500 0.000  3.80
Mn 0.000 0.000 0.500  3.39

Output
The distance to the lowest polymorph of the same formula is 12.593 eV per formula unit. As for the space group: Pm-3m.

=====

VASP calculation (PBE-GGA) on RbMn3C after structural relaxation.

Cell lengths 4.181, 4.181, 4.181 Å; angles 90.00, 90.00, 90.00 degrees
Site moments in Bohr magnetons follow the coordinates.
Atoms (fractional coordinates):
Mn 0.000 0.500 0.000  2.86
C 0.000 0.000 0.000  -0.21
Rb 0.500 0.500 0.500  0.02
Mn 0.000 0.000 0.500  2.75
Mn 0.500 0.000 0.000  2.42

Output
The distance to the lowest polymorph of the same formula is 0.000 eV per formula unit. As for the space group: Pm-3m.

=====

VASP calculation (PBE-GGA) on Rb2MnSbC after structural relaxation.

Cell lengths 6.957, 3.660, 6.957 Å; angles 90.00, 90.00, 90.00 degrees
Site moments in Bohr magnetons follow the coordinates.
Atoms (fractional coordinates):
Rb 0.500 0.000 0.000  0.02
Mn 0.000 0.000 0.000  3.42
Rb 0.000 0.000 0.500  0.02
Sb 0.500 0.500 0.500  0.26
C 0.000 0.500 0.000  -0.14

Output
As for the space group: P4/mmm. For the total energy, the calculation gives -4.195 eV per atom.

=====

VASP calculation (PBE-GGA) on RbMn2CSe after structural relaxation.

Cell lengths 4.432, 6.363, 4.432 Å; angles 90.00, 90.00, 90.00 degrees
Site moments in Bohr magnetons follow the coordinates.
Atoms (fractional coordinates):
Mn 0.500 0.000 0.000  0.03
Se 0.000 0.000 0.000  -0.01
C 0.500 0.500 0.500  -0.09
Mn 0.000 0.000 0.500  -0.01
Rb 0.000 0.500 0.000  0.00

Output
As for the space group: P4/mmm. For the total energy, the calculation gives -4.284 eV per atom.

=====

VASP calculation (PBE-GGA) on RbMnC2Se after structural relaxation.

Cell lengths 4.464, 4.477, 4.464 Å; angles 90.00, 90.00, 90.00 degrees
Site moments in Bohr magnetons follow the coordinates.
Atoms (fractional coordinates):
C 0.000 0.000 0.500  0.05
Rb 0.500 0.500 0.500  0.01
Mn 0.000 0.500 0.000  -0.19
C 0.500 0.000 0.000  0.05
Se 0.000 0.000 0.000  0.01

Output
As for the space group: P4/mmm. For the total energy, the calculation gives -3.981 eV per atom.

=====

VASP calculation (PBE-GGA) on RbMnTcC2 after structural relaxation.

Cell lengths 3.896, 5.196, 3.896 Å; angles 90.00, 90.00, 90.00 degrees
Site moments in Bohr magnetons follow the coordinates.
Atoms (fractional coordinates):
C 0.500 0.000 0.000  -0.10
Mn 0.000 0.000 0.000  0.80
Tc 0.500 0.500 0.500  2.70
Rb 0.000 0.500 0.000  0.04
C 0.000 0.000 0.500  -0.13

Output
As for the space group: P4/mmm. For the total energy, the calculation gives -5.268 eV per atom.

=====

VASP calculation (PBE-GGA) on RbZr2MnC after structural relaxation.

Cell lengths 5.069, 5.069, 3.893 Å; angles 90.00, 90.00, 90.00 degrees
Atoms (fractional coordinates):
C 0.000 0.000 0.500
Zr 0.000 0.500 0.000
Mn 0.000 0.000 0.000
Rb 0.500 0.500 0.500
Zr 0.500 0.000 0.000

Output
As for the space group: P4/mmm. For the total energy, the calculation gives -6.073 eV per atom.